(1)
# HgH2Pd6 (PBE, optimized geometry)
data_HgH2Pd6
_chemical_formula_sum 'Hg1 H2 Pd6'
_cell_length_a 4.913
_cell_length_b 4.913
_cell_length_c 9.193
_cell_angle_alpha 98.82
_cell_angle_beta 98.82
_cell_angle_gamma 34.02
_symmetry_space_group_name_H-M 'P 1'
_symmetry_Int_Tables_number 1
loop_
_symmetry_equiv_pos_as_xyz
'x,y,z'
loop_
_atom_site_label
_atom_site_type_symbol
_atom_site_fract_x
_atom_site_fract_y
_atom_site_fract_z
Hg1 Hg 0.000 0.000 0.000
H1 H 0.126 0.126 0.685
H2 H 0.874 0.874 0.315
Pd1 Pd 0.065 0.065 0.303
Pd2 Pd 0.246 0.246 0.860
Pd3 Pd 0.351 0.351 0.432
Pd4 Pd 0.649 0.649 0.568
Pd5 Pd 0.754 0.754 0.140
Pd6 Pd 0.935 0.935 0.697
# size of the total moment = 0.0 μB per formula unit
# SG = C2/m
# energy relative to the lowest polymorph listed for this composition = 0.056 eV/atom

---

(2)
# HgH3Pd3 (PBE, optimized geometry)
data_HgH3Pd3
_chemical_formula_sum 'Hg2 H6 Pd6'
_cell_length_a 7.609
_cell_length_b 7.609
_cell_length_c 7.609
_cell_angle_alpha 40.75
_cell_angle_beta 40.75
_cell_angle_gamma 40.75
_symmetry_space_group_name_H-M 'P 1'
_symmetry_Int_Tables_number 1
loop_
_symmetry_equiv_pos_as_xyz
'x,y,z'
loop_
_atom_site_label
_atom_site_type_symbol
_atom_site_fract_x
_atom_site_fract_y
_atom_site_fract_z
Hg1 Hg 0.166 0.166 0.166
Hg2 Hg 0.834 0.834 0.834
H1 H 0.051 0.371 0.700
H2 H 0.300 0.949 0.629
H3 H 0.371 0.700 0.051
H4 H 0.629 0.300 0.949
H5 H 0.700 0.051 0.371
H6 H 0.949 0.629 0.300
Pd1 Pd 0.053 0.729 0.395
Pd2 Pd 0.271 0.605 0.947
Pd3 Pd 0.395 0.053 0.729
Pd4 Pd 0.605 0.947 0.271
Pd5 Pd 0.729 0.395 0.053
Pd6 Pd 0.947 0.271 0.605
# size of the total moment = 0.0 μB per formula unit
# SG = R-3
# energy relative to the lowest polymorph listed for this composition = 0.037 eV/atom

---

(3)
# HgH2Pd2 (PBE, optimized geometry)
data_HgH2Pd2
_chemical_formula_sum 'Hg2 H4 Pd4'
_cell_length_a 5.145
_cell_length_b 5.145
_cell_length_c 5.536
_cell_angle_alpha 106.08
_cell_angle_beta 106.08
_cell_angle_gamma 113.25
_symmetry_space_group_name_H-M 'P 1'
_symmetry_Int_Tables_number 1
loop_
_symmetry_equiv_pos_as_xyz
'x,y,z'
loop_
_atom_site_label
_atom_site_type_symbol
_atom_site_fract_x
_atom_site_fract_y
_atom_site_fract_z
Hg1 Hg 0.123 0.877 0.750
Hg2 Hg 0.877 0.123 0.250
H1 H 0.239 0.488 0.980
H2 H 0.488 0.239 0.480
H3 H 0.512 0.761 0.520
H4 H 0.761 0.512 0.020
Pd1 Pd 0.206 0.794 0.250
Pd2 Pd 0.451 0.549 0.750
Pd3 Pd 0.549 0.451 0.250
Pd4 Pd 0.794 0.206 0.750
# size of the total moment = 0.0 μB per formula unit
# SG = C2/c
# energy relative to the lowest polymorph listed for this composition = 0.000 eV/atom

---

(4)
# HgH2Pd (PBE, optimized geometry)
data_HgH2Pd
_chemical_formula_sum 'Hg1 H2 Pd1'
_cell_length_a 3.961
_cell_length_b 3.961
_cell_length_c 3.961
_cell_angle_alpha 60.00
_cell_angle_beta 60.00
_cell_angle_gamma 60.00
_symmetry_space_group_name_H-M 'P 1'
_symmetry_Int_Tables_number 1
loop_
_symmetry_equiv_pos_as_xyz
'x,y,z'
loop_
_atom_site_label
_atom_site_type_symbol
_atom_site_fract_x
_atom_site_fract_y
_atom_site_fract_z
Hg1 Hg 0.000 0.000 0.000
H1 H 0.250 0.250 0.250
H2 H 0.750 0.750 0.750
Pd1 Pd 0.500 0.500 0.500
# size of the total moment = 0.0 μB per formula unit
# SG = Fm-3m
# energy relative to the lowest polymorph listed for this composition = 0.593 eV/atom

---

(5)
# HgH2Pd (PBE, optimized geometry)
data_HgH2Pd
_chemical_formula_sum 'Hg1 H2 Pd1'
_cell_length_a 6.806
_cell_length_b 6.806
_cell_length_c 6.806
_cell_angle_alpha 25.26
_cell_angle_beta 25.26
_cell_angle_gamma 25.26
_symmetry_space_group_name_H-M 'P 1'
_symmetry_Int_Tables_number 1
loop_
_symmetry_equiv_pos_as_xyz
'x,y,z'
loop_
_atom_site_label
_atom_site_type_symbol
_atom_site_fract_x
_atom_site_fract_y
_atom_site_fract_z
Hg1 Hg 0.000 0.000 0.000
H1 H 0.202 0.202 0.202
H2 H 0.464 0.464 0.464
Pd1 Pd 0.833 0.833 0.833
# size of the total moment = 0.0 μB per formula unit
# SG = R3m
# energy relative to the lowest polymorph listed for this composition = 0.005 eV/atom

---

(6)
# HgHPd3 (PBE, optimized geometry)
data_HgHPd3
_chemical_formula_sum 'Hg4 H4 Pd12'
_cell_length_a 7.498
_cell_length_b 7.498
_cell_length_c 5.027
_cell_angle_alpha 90.80
_cell_angle_beta 90.80
_cell_angle_gamma 100.32
_symmetry_space_group_name_H-M 'P 1'
_symmetry_Int_Tables_number 1
loop_
_symmetry_equiv_pos_as_xyz
'x,y,z'
loop_
_atom_site_label
_atom_site_type_symbol
_atom_site_fract_x
_atom_site_fract_y
_atom_site_fract_z
Hg1 Hg 0.065 0.207 0.081
Hg2 Hg 0.207 0.065 0.581
Hg3 Hg 0.793 0.935 0.419
Hg4 Hg 0.935 0.793 0.919
H1 H 0.288 0.712 0.250
H2 H 0.427 0.573 0.750
H3 H 0.573 0.427 0.250
H4 H 0.712 0.288 0.750
Pd1 Pd 0.059 0.685 0.415
Pd2 Pd 0.191 0.566 0.915
Pd3 Pd 0.313 0.441 0.424
Pd4 Pd 0.315 0.941 0.085
Pd5 Pd 0.434 0.809 0.585
Pd6 Pd 0.441 0.313 0.924
Pd7 Pd 0.559 0.687 0.076
Pd8 Pd 0.566 0.191 0.415
Pd9 Pd 0.685 0.059 0.915
Pd10 Pd 0.687 0.559 0.576
Pd11 Pd 0.809 0.434 0.085
Pd12 Pd 0.941 0.315 0.585
# size of the total moment = 0.0 μB per formula unit
# SG = C2/c
# energy relative to the lowest polymorph listed for this composition = 0.071 eV/atom

---

(7)
# Hg3H5Pd12 (PBE, optimized geometry)
data_Hg3H5Pd12
_chemical_formula_sum 'Hg12 H20 Pd48'
_cell_length_a 11.357
_cell_length_b 11.357
_cell_length_c 11.357
_cell_angle_alpha 109.47
_cell_angle_beta 109.47
_cell_angle_gamma 109.47
_symmetry_space_group_name_H-M 'P 1'
_symmetry_Int_Tables_number 1
loop_
_symmetry_equiv_pos_as_xyz
'x,y,z'
loop_
_atom_site_label
_atom_site_type_symbol
_atom_site_fract_x
_atom_site_fract_y
_atom_site_fract_z
Hg1 Hg 0.125 0.250 0.375
Hg2 Hg 0.125 0.375 0.750
Hg3 Hg 0.250 0.375 0.125
Hg4 Hg 0.250 0.875 0.625
Hg5 Hg 0.375 0.125 0.250
Hg6 Hg 0.375 0.750 0.125
Hg7 Hg 0.625 0.250 0.875
Hg8 Hg 0.625 0.875 0.750
Hg9 Hg 0.750 0.125 0.375
Hg10 Hg 0.750 0.625 0.875
Hg11 Hg 0.875 0.625 0.250
Hg12 Hg 0.875 0.750 0.625
H1 H 0.000 0.000 0.000
H2 H 0.000 0.000 0.500
H3 H 0.000 0.500 0.000
H4 H 0.000 0.500 0.500
H5 H 0.125 0.750 0.875
H6 H 0.125 0.875 0.250
H7 H 0.250 0.125 0.875
H8 H 0.250 0.625 0.375
H9 H 0.375 0.250 0.625
H10 H 0.375 0.625 0.750
H11 H 0.500 0.000 0.000
H12 H 0.500 0.000 0.500
H13 H 0.500 0.500 0.000
H14 H 0.500 0.500 0.500
H15 H 0.625 0.375 0.250
H16 H 0.625 0.750 0.375
H17 H 0.750 0.375 0.625
H18 H 0.750 0.875 0.125
H19 H 0.875 0.125 0.750
H20 H 0.875 0.250 0.125
Pd1 Pd 0.003 0.692 0.097
Pd2 Pd 0.003 0.812 0.906
Pd3 Pd 0.094 0.597 0.906
Pd4 Pd 0.094 0.688 0.692
Pd5 Pd 0.094 0.906 0.403
Pd6 Pd 0.094 0.997 0.188
Pd7 Pd 0.097 0.003 0.692
Pd8 Pd 0.097 0.594 0.406
Pd9 Pd 0.188 0.094 0.997
Pd10 Pd 0.188 0.594 0.192
Pd11 Pd 0.192 0.188 0.594
Pd12 Pd 0.192 0.503 0.597
Pd13 Pd 0.308 0.903 0.997
Pd14 Pd 0.308 0.906 0.312
Pd15 Pd 0.312 0.308 0.906
Pd16 Pd 0.312 0.503 0.406
Pd17 Pd 0.403 0.094 0.906
Pd18 Pd 0.403 0.808 0.497
Pd19 Pd 0.406 0.097 0.594
Pd20 Pd 0.406 0.312 0.503
Pd21 Pd 0.406 0.594 0.903
Pd22 Pd 0.406 0.808 0.812
Pd23 Pd 0.497 0.403 0.808
Pd24 Pd 0.497 0.594 0.688
Pd25 Pd 0.503 0.406 0.312
Pd26 Pd 0.503 0.597 0.192
Pd27 Pd 0.594 0.192 0.188
Pd28 Pd 0.594 0.406 0.097
Pd29 Pd 0.594 0.688 0.497
Pd30 Pd 0.594 0.903 0.406
Pd31 Pd 0.597 0.192 0.503
Pd32 Pd 0.597 0.906 0.094
Pd33 Pd 0.688 0.497 0.594
Pd34 Pd 0.688 0.692 0.094
Pd35 Pd 0.692 0.094 0.688
Pd36 Pd 0.692 0.097 0.003
Pd37 Pd 0.808 0.497 0.403
Pd38 Pd 0.808 0.812 0.406
Pd39 Pd 0.812 0.406 0.808
Pd40 Pd 0.812 0.906 0.003
Pd41 Pd 0.903 0.406 0.594
Pd42 Pd 0.903 0.997 0.308
Pd43 Pd 0.906 0.003 0.812
Pd44 Pd 0.906 0.094 0.597
Pd45 Pd 0.906 0.312 0.308
Pd46 Pd 0.906 0.403 0.094
Pd47 Pd 0.997 0.188 0.094
Pd48 Pd 0.997 0.308 0.903
# size of the total moment = 0.0 μB per formula unit
# SG = Ia-3d
# electronic total energy = -320.420 eV for the cell shown

---

(8)
# HgHPd3 (PBE, optimized geometry)
data_HgHPd3
_chemical_formula_sum 'Hg2 H2 Pd6'
_cell_length_a 5.960
_cell_length_b 3.951
_cell_length_c 5.860
_cell_angle_alpha 90.00
_cell_angle_beta 90.00
_cell_angle_gamma 90.00
_symmetry_space_group_name_H-M 'P 1'
_symmetry_Int_Tables_number 1
loop_
_symmetry_equiv_pos_as_xyz
'x,y,z'
loop_
_atom_site_label
_atom_site_type_symbol
_atom_site_fract_x
_atom_site_fract_y
_atom_site_fract_z
Hg1 Hg 0.250 0.000 0.000
Hg2 Hg 0.750 0.000 0.000
H1 H 0.250 0.500 0.491
H2 H 0.750 0.500 0.509
Pd1 Pd 0.000 0.500 0.253
Pd2 Pd 0.000 0.500 0.747
Pd3 Pd 0.250 0.000 0.500
Pd4 Pd 0.500 0.500 0.253
Pd5 Pd 0.500 0.500 0.747
Pd6 Pd 0.750 0.000 0.500
# size of the total moment = 0.0 μB per formula unit
# SG = Pmma
# energy relative to the lowest polymorph listed for this composition = 0.036 eV/atom

---

(9)
# HgH2Pd (PBE, optimized geometry)
data_HgH2Pd
_chemical_formula_sum 'Hg2 H4 Pd2'
_cell_length_a 5.584
_cell_length_b 5.584
_cell_length_c 5.310
_cell_angle_alpha 116.93
_cell_angle_beta 116.93
_cell_angle_gamma 96.37
_symmetry_space_group_name_H-M 'P 1'
_symmetry_Int_Tables_number 1
loop_
_symmetry_equiv_pos_as_xyz
'x,y,z'
loop_
_atom_site_label
_atom_site_type_symbol
_atom_site_fract_x
_atom_site_fract_y
_atom_site_fract_z
Hg1 Hg 0.115 0.885 0.750
Hg2 Hg 0.885 0.115 0.250
H1 H 0.371 0.614 0.048
H2 H 0.386 0.629 0.452
H3 H 0.614 0.371 0.548
H4 H 0.629 0.386 0.952
Pd1 Pd 0.452 0.548 0.750
Pd2 Pd 0.548 0.452 0.250
# size of the total moment = 0.0 μB per formula unit
# SG = C2/c
# energy relative to the lowest polymorph listed for this composition = 0.000 eV/atom

---

(10)
# HgH2Pd6 (PBE, optimized geometry)
data_HgH2Pd6
_chemical_formula_sum 'Hg1 H2 Pd6'
_cell_length_a 4.977
_cell_length_b 5.014
_cell_length_c 5.024
_cell_angle_alpha 99.99
_cell_angle_beta 98.77
_cell_angle_gamma 99.19
_symmetry_space_group_name_H-M 'P 1'
_symmetry_Int_Tables_number 1
loop_
_symmetry_equiv_pos_as_xyz
'x,y,z'
loop_
_atom_site_label
_atom_site_type_symbol
_atom_site_fract_x
_atom_site_fract_y
_atom_site_fract_z
Hg1 Hg 0.000 0.000 0.000
H1 H 0.381 0.542 0.810
H2 H 0.619 0.458 0.190
Pd1 Pd 0.135 0.281 0.564
Pd2 Pd 0.282 0.573 0.153
Pd3 Pd 0.429 0.869 0.709
Pd4 Pd 0.571 0.131 0.291
Pd5 Pd 0.718 0.427 0.847
Pd6 Pd 0.865 0.719 0.436
# size of the total moment = 0.0 μB per formula unit
# SG = P-1
# energy relative to the lowest polymorph listed for this composition = 0.000 eV/atom

---

(11)
# Pm2HgHPd6 (PBE, optimized geometry)
data_Pm2HgHPd6
_chemical_formula_sum 'Pm2 Hg1 H1 Pd6'
_cell_length_a 5.676
_cell_length_b 5.676
_cell_length_c 7.184
_cell_angle_alpha 112.36
_cell_angle_beta 112.36
_cell_angle_gamma 61.69
_symmetry_space_group_name_H-M 'P 1'
_symmetry_Int_Tables_number 1
loop_
_symmetry_equiv_pos_as_xyz
'x,y,z'
loop_
_atom_site_label
_atom_site_type_symbol
_atom_site_fract_x
_atom_site_fract_y
_atom_site_fract_z
Pm1 Pm 0.246 0.246 0.303
Pm2 Pm 0.754 0.754 0.697
Hg1 Hg 0.000 0.000 0.500
H1 H 0.500 0.500 0.000
Pd1 Pd 0.178 0.686 0.141
Pd2 Pd 0.297 0.297 0.775
Pd3 Pd 0.314 0.822 0.859
Pd4 Pd 0.686 0.178 0.141
Pd5 Pd 0.703 0.703 0.225
Pd6 Pd 0.822 0.314 0.859
# size of the total moment = 0.0 μB per formula unit
# SG = C2/m
# electronic total energy = -49.878 eV for the cell shown

---

(12)
# PmHgH4Pd6 (PBE, optimized geometry)
data_PmHgH4Pd6
_chemical_formula_sum 'Pm1 Hg1 H4 Pd6'
_cell_length_a 5.609
_cell_length_b 5.609
_cell_length_c 6.024
_cell_angle_alpha 90.00
_cell_angle_beta 90.00
_cell_angle_gamma 120.00
_symmetry_space_group_name_H-M 'P 1'
_symmetry_Int_Tables_number 1
loop_
_symmetry_equiv_pos_as_xyz
'x,y,z'
loop_
_atom_site_label
_atom_site_type_symbol
_atom_site_fract_x
_atom_site_fract_y
_atom_site_fract_z
Pm1 Pm 0.000 0.000 0.000
Hg1 Hg 0.000 0.000 0.500
H1 H 0.333 0.667 0.157
H2 H 0.333 0.667 0.843
H3 H 0.667 0.333 0.157
H4 H 0.667 0.333 0.843
Pd1 Pd 0.000 0.500 0.266
Pd2 Pd 0.000 0.500 0.734
Pd3 Pd 0.500 0.000 0.266
Pd4 Pd 0.500 0.000 0.734
Pd5 Pd 0.500 0.500 0.266
Pd6 Pd 0.500 0.500 0.734
# size of the total moment = 0.0 μB per formula unit
# SG = P6/mmm
# electronic total energy = -52.686 eV for the cell shown

---

- What is the size of the total moment in the tenth record?
  0.0 μB per formula unit

---

- Which value of size of the total moment does entry 7 give?
  0.0 μB per formula unit